# 1
Material: LaAgO3
Method: DFT, GGA-PBE
State: relaxed

Energy, eV for the cell shown: -119.456
Total moment, μB per cell: 1.8
Symmetry: Pnma

Cell and atoms, written as POSCAR:
```
LaAgO3
1.0
6.067 0.000 0.000
0.000 8.480 0.000
0.000 0.000 5.835
La Ag O
4 4 12
direct
0.000 0.000 0.000 La
0.000 0.500 0.000 La
0.500 0.000 0.500 La
0.500 0.500 0.500 La
0.049 0.250 0.493 Ag
0.451 0.750 0.993 Ag
0.549 0.250 0.007 Ag
0.951 0.750 0.507 Ag
0.141 0.750 0.152 O
0.164 0.587 0.655 O
0.164 0.913 0.655 O
0.336 0.087 0.155 O
0.336 0.413 0.155 O
0.359 0.250 0.652 O
0.641 0.750 0.348 O
0.664 0.587 0.845 O
0.664 0.913 0.845 O
0.836 0.087 0.345 O
0.836 0.413 0.345 O
0.859 0.250 0.848 O
```

***

# 2
Material: RbDyTe3Au
Method: DFT, GGA-PBE
State: relaxed

Energy, eV for the cell shown: -47.570
Total moment, μB per cell: 0.0
Symmetry: Cmcm

Cell and atoms, written as POSCAR:
```
RbDyTe3Au
1.0
2.130 -8.500 0.000
2.130 8.500 0.000
0.000 0.000 11.274
Rb Dy Te Au
2 2 6 2
direct
0.244 0.756 0.750 Rb
0.756 0.244 0.250 Rb
0.000 0.000 0.000 Dy
0.000 0.000 0.500 Dy
0.074 0.926 0.250 Te
0.373 0.627 0.049 Te
0.373 0.627 0.451 Te
0.627 0.373 0.549 Te
0.627 0.373 0.951 Te
0.926 0.074 0.750 Te
0.465 0.535 0.250 Au
0.535 0.465 0.750 Au
```

***

Q: What is the formula in the second record?
A: RbDyTe3Au

***

Q: What is the formula in the second record?
A: RbDyTe3Au

***

Q: Among the records above, which one has the highest energy?
A: RbDyTe3Au

***

Q: energy of number 1 (LaAgO3)?
A: -119.456 eV for the cell shown